# 1
Computed, not measured: an optimized crystal structure of ErSc3Fe8 at the PBE level of DFT.

Cell: 8.5872 8.5872 8.5872 Å, 33.59 33.59 33.59°
Fractional positions:
Er (0.0000, 0.0000, 0.0000)
Sc (0.3768, 0.3768, 0.3768)
Sc (0.5003, 0.5003, 0.5003)
Sc (0.8739, 0.8739, 0.8739)
Fe (0.1875, 0.1875, 0.1875)
Fe (0.4367, 0.4367, 0.9357)
Fe (0.4367, 0.9357, 0.4367)
Fe (0.4401, 0.9382, 0.9382)
Fe (0.6879, 0.6879, 0.6879)
Fe (0.9357, 0.4367, 0.4367)
Fe (0.9382, 0.4401, 0.9382)
Fe (0.9382, 0.9382, 0.4401)

Results
- Space group: R3m (160)
- Total DFT energy (no corrections): -7.835 eV/atom
- Calculated formation energy: -2.76 eV per formula unit

---

# 2
Computed, not measured: an optimized crystal structure of Be2Ag2Pt at the PBE level of DFT.

Cell: 5.9933 5.9933 3.8127 Å, 90.00 90.00 90.00°
Fractional positions:
Be (0.1379, 0.3621, 0.0000)
Be (0.3621, 0.8621, 0.0000)
Be (0.6379, 0.1379, 0.0000)
Be (0.8621, 0.6379, 0.0000)
Ag (0.1665, 0.6665, 0.5000)
Ag (0.3335, 0.1665, 0.5000)
Ag (0.6665, 0.8335, 0.5000)
Ag (0.8335, 0.3335, 0.5000)
Pt (0.0000, 0.0000, 0.0000)
Pt (0.5000, 0.5000, 0.0000)

Results
- Space group: P4/mbm (127)
- Total DFT energy (no corrections): -3.883 eV/atom
- Calculated formation energy: -0.22 eV per formula unit

---

# 3
Computed, not measured: an optimized crystal structure of ScGe4Rh6 at the PBE level of DFT.

Cell: 7.2274 7.2274 3.7620 Å, 90.00 90.00 120.00°
Fractional positions:
Sc (0.0000, 0.0000, 0.0000)
Ge (0.3333, 0.6667, 0.0000)
Ge (0.3891, 0.1946, 0.5000)
Ge (0.8054, 0.1946, 0.5000)
Ge (0.8054, 0.6109, 0.5000)
Rh (0.1955, 0.3910, 0.5000)
Rh (0.1955, 0.8045, 0.5000)
Rh (0.5336, 0.0672, 0.0000)
Rh (0.5336, 0.4664, 0.0000)
Rh (0.6090, 0.8045, 0.5000)
Rh (0.9328, 0.4664, 0.0000)

Results
- Space group: P-6m2 (187)
- Total DFT energy (no corrections): -6.949 eV/atom
- Calculated formation energy: -7.53 eV per formula unit